# 1
Compound: VHIr2Os
Source: Alexandria
Functional: PBE
Structure: relaxed

POSCAR file:
```
VHIr2Os
1.0
3.851 0.000 0.000
0.000 3.851 0.000
0.000 0.000 3.956
V H Ir Os
1 1 2 1
Cartesian
0.000 0.000 0.000
0.000 0.000 1.978
0.000 1.925 1.978
1.925 0.000 1.978
1.925 1.925 0.000
```

Values from the calculation:
For the final energy, the calculation gives -8.4336 eV per atom. The value obtained for the volume is 58.7 Å³ per cell.

***

# 2
Compound: HIrOsW2
Source: Alexandria
Functional: PBE
Structure: relaxed

POSCAR file:
```
HIrOsW2
1.0
4.008 0.000 0.000
0.000 4.008 0.000
0.000 0.000 3.913
H Ir Os W
1 1 1 2
Cartesian
0.000 0.000 0.000
0.000 0.000 1.957
2.004 2.004 1.957
0.000 2.004 0.000
2.004 0.000 0.000
```

Values from the calculation:
The value obtained for the volume is 62.9 Å³ per cell. As for the energy above the most stable polymorph in this dataset: 0.024 eV per atom.

***

# 3
Compound: HIrOsW2
Source: Alexandria
Functional: PBE
Structure: relaxed

POSCAR file:
```
HIrOsW2
1.0
4.004 0.000 0.000
0.000 4.004 0.000
0.000 0.000 3.916
H Ir Os W
1 1 1 2
Cartesian
0.000 0.000 0.000
2.002 2.002 1.958
0.000 0.000 1.958
0.000 2.002 0.000
2.002 0.000 0.000
```

Values from the calculation:
The value obtained for the volume is 62.8 Å³ per cell. As for the energy above the most stable polymorph in this dataset: 0.000 eV per atom.

***

# 4
Compound: HIr2OsW
Source: Alexandria
Functional: PBE
Structure: relaxed

POSCAR file:
```
HIr2OsW
1.0
3.919 0.000 0.000
0.000 3.919 0.000
0.000 0.000 3.999
H Ir Os W
1 2 1 1
Cartesian
0.000 0.000 0.000
0.000 1.959 0.000
1.959 0.000 0.000
0.000 0.000 1.999
1.959 1.959 1.999
```

Values from the calculation:
For the final energy, the calculation gives -9.0363 eV per atom. The value obtained for the volume is 61.4 Å³ per cell.

***

# 5
Compound: ZnHIrOs2
Source: Alexandria
Functional: PBE
Structure: relaxed

POSCAR file:
```
ZnHIrOs2
1.0
3.844 0.000 0.000
0.000 3.844 0.000
0.000 0.000 4.103
Zn H Ir Os
1 1 1 2
Cartesian
0.000 0.000 0.000
1.922 1.922 2.051
1.922 1.922 0.000
0.000 1.922 2.051
1.922 0.000 2.051
```

Values from the calculation:
For the final energy, the calculation gives -6.7636 eV per atom. The value obtained for the volume is 60.6 Å³ per cell.

***

# 6
Compound: P2HIr
Source: Alexandria
Functional: PBE
Structure: relaxed

POSCAR file:
```
P2HIr
1.0
4.860 0.000 0.000
0.000 4.860 0.000
0.000 0.000 9.794
P H Ir
8 4 4
Cartesian
0.975 1.215 1.224
1.215 3.405 3.673
1.215 3.884 8.570
1.454 1.215 6.121
3.405 3.645 6.121
3.645 0.975 8.570
3.645 1.454 3.673
3.884 3.645 1.224
0.000 0.000 0.000
0.000 2.430 2.449
2.430 0.000 7.346
2.430 2.430 4.897
0.000 0.000 4.897
0.000 2.430 7.346
2.430 0.000 2.449
2.430 2.430 0.000
```

Values from the calculation:
The value obtained for the volume is 231.3 Å³ per cell. As for the energy above the most stable polymorph in this dataset: 0.000 eV per atom.

***

# 7
Compound: PHIr3
Source: Alexandria
Functional: PBE
Structure: relaxed

POSCAR file:
```
PHIr3
1.0
3.923 0.000 0.000
0.000 3.923 0.000
0.000 0.000 3.923
P H Ir
1 1 3
Cartesian
0.000 0.000 0.000
1.961 1.961 1.961
0.000 1.961 1.961
1.961 0.000 1.961
1.961 1.961 0.000
```

Values from the calculation:
The value obtained for the volume is 60.4 Å³ per cell. As for the energy above the most stable polymorph in this dataset: 0.000 eV per atom.

***

# 8
Compound: PHIr
Source: Alexandria
Functional: PBE
Structure: relaxed

POSCAR file:
```
PHIr
1.0
3.565 0.000 0.000
0.000 5.466 0.000
-1.479 0.000 3.702
P H Ir
2 2 2
Cartesian
0.140 0.000 1.709
1.946 2.733 1.992
0.919 3.728 0.298
1.167 0.995 3.404
0.129 2.068 0.625
1.957 4.800 3.077
```

Values from the calculation:
For the final energy, the calculation gives -5.9753 eV per atom. The value obtained for the volume is 72.1 Å³ per cell.

***

# 9
Compound: P2HIr
Source: Alexandria
Functional: PBE
Structure: relaxed

POSCAR file:
```
P2HIr
1.0
5.727 0.000 0.000
0.000 5.727 0.000
0.000 0.000 5.727
P H Ir
8 4 4
Cartesian
1.432 1.432 1.432
1.432 1.432 4.295
1.432 4.295 1.432
1.432 4.295 4.295
4.295 1.432 1.432
4.295 1.432 4.295
4.295 4.295 1.432
4.295 4.295 4.295
0.000 0.000 0.000
0.000 2.864 2.864
2.864 0.000 2.864
2.864 2.864 0.000
0.000 0.000 2.864
0.000 2.864 0.000
2.864 0.000 0.000
2.864 2.864 2.864
```

Values from the calculation:
The value obtained for the volume is 187.9 Å³ per cell. As for the energy above the most stable polymorph in this dataset: 0.019 eV per atom.

***

# 10
Compound: PmPHIr
Source: Alexandria
Functional: PBE
Structure: relaxed

POSCAR file:
```
PmPHIr
1.0
3.951 0.000 0.000
0.000 3.951 0.000
0.000 0.000 7.843
Pm P H Ir
2 2 2 2
Cartesian
0.988 0.988 1.333
2.963 2.963 6.509
0.988 0.988 5.310
2.963 2.963 2.533
0.988 2.963 0.000
2.963 0.988 0.000
0.988 2.963 3.921
2.963 0.988 3.921
```

Values from the calculation:
For the final energy, the calculation gives -6.4944 eV per atom. The value obtained for the volume is 122.4 Å³ per cell.

***

# 11
Compound: Rb2PHIr
Source: Alexandria
Functional: PBE
Structure: relaxed

POSCAR file:
```
Rb2PHIr
1.0
6.589 0.000 0.000
0.000 6.589 0.000
0.000 0.000 4.336
Rb P H Ir
2 1 1 1
Cartesian
0.000 3.295 0.000
3.295 0.000 0.000
0.000 0.000 0.000
3.295 3.295 2.168
0.000 0.000 2.168
```

Values from the calculation:
For the final energy, the calculation gives -3.7029 eV per atom. The value obtained for the volume is 188.3 Å³ per cell.

***

# 12
Compound: SiPHIr2
Source: Alexandria
Functional: PBE
Structure: relaxed

POSCAR file:
```
SiPHIr2
1.0
4.376 0.000 0.000
0.000 4.376 0.000
0.000 0.000 4.607
Si P H Ir
1 1 1 2
Cartesian
0.000 0.000 0.000
0.000 0.000 2.303
2.188 2.188 0.000
0.000 2.188 2.303
2.188 0.000 2.303
```

Values from the calculation:
For the final energy, the calculation gives -5.1019 eV per atom. The value obtained for the volume is 88.2 Å³ per cell.